1.
Computed, not measured: an optimized crystal structure of Pm2Cd3 at the PBE-GGA level of DFT.

a b c (Å): 5.1225 5.1225 17.6861
angles (deg): 90.00 90.00 120.00
Last column: nearest neighbours and their distance in Å.
Space group R-3m (No. 166, hexagonal axes)
Unique sites:
Pm1 0.0000 0.0000 0.0963 [6 per cell]  6 Cd 3.21-3.24, 1 Pm 3.41
Cd1 0.0000 0.0000 0.3112 [6 per cell]  4 Cd 3.06-3.34, 3 Pm 3.24
Cd2 0.0000 0.0000 0.5000 [3 per cell]  6 Pm 3.21, 2 Cd 3.34

For the uncorrected energy, the calculation gives -40.8 eV/cell. The value obtained for the density of states at the Fermi level is 8.10 states/eV per cell. As for the formation energy: -25.8 kJ per mole of atoms. For the total moment, the calculation gives 0.0 μB per cell.


2.
Computed, not measured: an optimized crystal structure of CeCdAs2 at the PBE-GGA level of DFT.

a b c (Å): 3.9325 3.9325 6.5450
angles (deg): 90.00 90.00 90.00
Last column: nearest neighbours and their distance in Å.
Space group P4/mmm (No. 123)
Unique sites:
Ce1 0.0000 0.0000 0.0000 [1 per cell]  8 As 3.05, 2 Cd 3.27
Cd1 0.0000 0.0000 0.5000 [1 per cell]  2 Ce 3.27, 8 As 3.44
As1 0.5000 0.5000 0.1916 [2 per cell]  1 As 2.51

For the uncorrected energy, the calculation gives -18.5 eV/cell. The value obtained for the density of states at the Fermi level is 3.03 states/eV per cell. As for the formation energy: -56.4 kJ per mole of atoms. For the total moment, the calculation gives 0.0 μB per cell.


3.
Computed, not measured: an optimized crystal structure of KP4Pt at the PBE-GGA level of DFT.

a b c (Å): 7.9510 7.9510 7.9510
angles (deg): 90.00 90.00 90.00
Last column: nearest neighbours and their distance in Å.
Space group F-43m (No. 216)
Unique sites:
K1 0.0000 0.0000 0.0000 [4 per cell]  12 P 3.37, 4 Pt 3.44
P1 0.0998 0.0998 0.5998 [16 per cell]  3 P 2.24
Pt1 0.2500 0.2500 0.2500 [4 per cell]  12 P 3.25, 4 K 3.44

For the uncorrected energy, the calculation gives -106.7 eV/cell. The value obtained for the density of states at the Fermi level is 22.26 states/eV per cell. As for the formation energy: 33.9 kJ per mole of atoms. For the total moment, the calculation gives 0.0 μB per cell.


4.
Computed, not measured: an optimized crystal structure of SrScRhO6 at the PBE-GGA level of DFT.

a b c (Å): 5.3499 5.3499 5.3479
angles (deg): 90.00 90.00 120.00
Last column: nearest neighbours and their distance in Å.
Space group P312 (No. 149)
Unique sites:
Sr1 0.0000 0.0000 0.0000 [1 per cell]  6 O 2.53
Sc1 0.3333 0.6667 0.5000 [1 per cell]  6 O 2.10
Rh1 0.6667 0.3333 0.5000 [1 per cell]  6 O 1.94
O1 0.3819 0.0233 0.7054 [6 per cell]  1 Rh 1.94, 1 Sc 2.10

For the uncorrected energy, the calculation gives -60.5 eV/cell. The value obtained for the density of states at the Fermi level is 5.20 states/eV per cell. As for the uncorrected formation energy: -1.714 eV per atom. For the total moment, the calculation gives 1.9 μB per cell.